Record 1
Entry from Alexandria: an optimized crystal structure of TbThOsRu (GGA-PBE).

Cell: 4.941 4.941 4.941 Å, 60.00 60.00 60.00°
Positions (direct):
Th 0.750 0.750 0.750
Tb 0.250 0.250 0.250
Ru 0.000 0.000 0.000
Os 0.500 0.500 0.500

Output
ρ	13280	kg/m³
formation enthalpy at 0 K	-1.1	eV per formula unit
N(E_F)	3.99	states/eV/f.u.

Record 2
Entry from Alexandria: an optimized crystal structure of TbTmOsRu (GGA-PBE).

Cell: 4.791 4.791 4.791 Å, 60.00 60.00 60.00°
Positions (direct):
Os 0.250 0.250 0.250
Tb 0.500 0.500 0.500
Ru 0.750 0.750 0.750
Tm 0.000 0.000 0.000

Output
ρ	13220	kg/m³
formation enthalpy at 0 K	-0.8	eV per formula unit
N(E_F)	4.58	states/eV/f.u.

Record 3
Entry from Alexandria: an optimized crystal structure of TbYOsRu (GGA-PBE).

Cell: 4.830 4.830 4.830 Å, 60.00 60.00 60.00°
Positions (direct):
Os 0.500 0.500 0.500
Y 0.750 0.750 0.750
Ru 0.000 0.000 0.000
Tb 0.250 0.250 0.250

Output
ρ	11234	kg/m³
formation enthalpy at 0 K	-0.5	eV per formula unit
N(E_F)	4.60	states/eV/f.u.

Record 4
Entry from Alexandria: an optimized crystal structure of TbZrOsRu (GGA-PBE).

Cell: 4.730 4.730 4.730 Å, 60.00 60.00 60.00°
Positions (direct):
Ru 0.750 0.750 0.750
Os 0.250 0.250 0.250
Zr 0.000 0.000 0.000
Tb 0.500 0.500 0.500

Output
ρ	12013	kg/m³
formation enthalpy at 0 K	-1.5	eV per formula unit
N(E_F)	2.89	states/eV/f.u.

Record 5
Entry from Alexandria: an optimized crystal structure of TcOsRu2 (GGA-PBE).

Cell: 4.350 4.350 4.350 Å, 60.00 60.00 60.00°
Positions (direct):
Os 0.500 0.500 0.500
Ru 0.250 0.250 0.250
Ru 0.750 0.750 0.750
Tc 0.000 0.000 0.000

Output
ρ	13989	kg/m³
formation enthalpy at 0 K	2.4	eV per formula unit
polymorph energy (0 for the lowest one)	63.8	kJ/mol of atoms
N(E_F)	7.20	states/eV/f.u.

Record 6
Entry from Alexandria: an optimized crystal structure of TcOsRu2 (GGA-PBE).

Cell: 3.835 2.722 6.087 Å, 63.37 90.00 90.00°
Positions (direct):
Tc 0.500 0.250 0.250
Ru 0.000 0.499 0.501
Os 0.500 0.750 0.750
Ru 0.000 0.001 0.999

Output
ρ	14336	kg/m³
formation enthalpy at 0 K	0.3	eV per formula unit
polymorph energy (0 for the lowest one)	14.2	kJ/mol of atoms
N(E_F)	4.90	states/eV/f.u.

Record 7
Entry from Alexandria: an optimized crystal structure of TcOs2Ru (GGA-PBE).

Cell: 2.688 2.688 9.181 Å, 90.00 90.00 117.51°
Last column: magnetic moment on the atom in μB.
Positions (direct):
Os 0.000 0.000 0.501  0.21
Tc 0.500 0.500 0.750  -0.08
Os 0.000 0.000 0.999  0.21
Ru 0.500 0.500 0.250  0.64

Output
ρ	16357	kg/m³
formation enthalpy at 0 K	2.2	eV per formula unit
polymorph energy (0 for the lowest one)	59.2	kJ/mol of atoms
N(E_F)	5.81	states/eV/f.u.

Record 8
Entry from Alexandria: an optimized crystal structure of TcOsRu (GGA-PBE).

Cell: 4.318 4.318 2.711 Å, 90.00 90.00 120.00°
Positions (direct):
Os 0.000 0.000 0.833
Tc 0.333 0.667 0.833
Ru 0.667 0.333 0.333

Output
ρ	14769	kg/m³
formation enthalpy at 0 K	0.5	eV per formula unit
polymorph energy (0 for the lowest one)	11.0	kJ/mol of atoms
N(E_F)	2.43	states/eV/f.u.